[1]
Computed, not measured: crystalline Cd2AgHg6 at its relaxed geometry at the PBE level of DFT.

Geometry as POSCAR:
```
Cd2AgHg6
1.0
6.4971 -1.9253 0.3909
0.8036 6.0069 1.9970
-0.3742 1.4171 6.0826
Cd Hg Ag
2 6 1
direct
0.5000 0.2218 0.0563 Cd
0.5000 0.7782 0.9437 Cd
0.3641 0.2855 0.5000 Hg
0.6359 0.7145 0.5000 Hg
0.8459 0.4661 0.1957 Hg
0.1541 0.8382 0.1957 Hg
0.1541 0.5339 0.8043 Hg
0.8459 0.1618 0.8043 Hg
0.0000 0.0000 0.5000 Ag
```

Calculated values
- ΔE_f: 63 meV per atom
- Calculated density: 11.0 g/cm³

[2]
Computed, not measured: crystalline CdSiAu2 at its relaxed geometry at the PBE level of DFT.

Geometry as POSCAR:
```
CdSiAu2
1.0
-0.5315 -0.4335 -3.1411
-2.9419 -1.1216 0.6514
-2.6202 6.6009 -0.4677
Au Cd Si
2 1 1
direct
0.0000 0.0000 0.5283 Au
0.0000 0.0000 0.9717 Au
0.5000 0.5000 0.2500 Cd
0.5000 0.5000 0.7500 Si
```

Calculated values
- Calculated density: 12.1 g/cm³
- Uncorrected formation energy: 0.07 eV per atom